First-principles (PBE) data for crystalline FeSb4Os at its relaxed geometry, as listed in the Open Quantum Materials Database.

Electronic total energy: -36.15 eV/cell

Lattice parameters (Å, degrees): 5.9052 3.2525 6.6445 90.00 90.30 90.00
Last column: nearest neighbours and their distance in Å.
Fractional positions:
Fe  0.0000  0.0000  0.0000  6 Sb 2.57-2.59
Sb  0.1809  0.0000  0.6492  1 Fe 2.57, 2 Os 2.68
Sb  0.3040  0.5000  0.1378  2 Fe 2.59, 1 Os 2.67
Sb  0.6960  0.5000  0.8622  2 Fe 2.59, 1 Os 2.67
Sb  0.8191  0.0000  0.3508  1 Fe 2.57, 2 Os 2.68
Os  0.5000  0.5000  0.5000  6 Sb 2.67-2.68